Computed, not measured: NiAsAu after structural relaxation at the PBE level of DFT.

Cell lengths 4.2513, 4.2513, 3.9672 Å; angles 106.34, 106.34, 47.54 degrees
Positions (direct):
Ni 0.0000 0.0000 0.0000
As 0.6879 0.6879 0.9171
Au 0.3688 0.3688 0.4352

Values from the calculation:
Space group: Cm, No. 8
E_form in eV per atom: 0.031
DFT total energy in eV per atom: -4.538